## MnTc3O (PBE with a Hubbard U)

Data for an optimized crystal structure of MnTc3O.

Calculated values
distance to the lowest polymorph of the same formula: 1.788 eV/atom
calculated density: 7.09 g cm⁻³
raw total energy: -31.50 eV per cell
crystal system: cubic
total magnetization: 2.47 μB/f.u.

Unit cell a=4.405 b=4.405 c=4.405 alpha=90.00 beta=90.00 gamma=90.00
Space group Pm-3m (No. 221)
Symmetry-distinct sites (fractional):
Mn 0.000 0.000 0.000 (multiplicity 1)
Tc 0.000 0.000 0.500 (multiplicity 3)
O 0.500 0.500 0.500 (multiplicity 1)